# 1
First-principles (GGA-PBE) data for a relaxed structure of CrRe3Rh, as listed in Alexandria.

Results
Formation enthalpy at 0 K, eV/atom: 1.545
Volume, Å³ per atom: 16.95

Geometry as extended XYZ:
```
5
Lattice="4.392 0.000 0.000 0.000 4.392 0.000 0.000 0.000 4.392" Properties=species:S:1:pos:R:3 pbc="T T T"
Re 0.000 0.000 2.196
Re 0.000 2.196 0.000
Re 2.196 0.000 0.000
Cr 0.000 0.000 0.000
Rh 2.196 2.196 2.196
```


# 2
First-principles (GGA-PBE) data for a relaxed structure of CrRe2Rh, as listed in Alexandria.

Results
Formation enthalpy at 0 K, eV/atom: 0.372
Volume, Å³ per atom: 14.19

Geometry as extended XYZ:
```
4
Lattice="-2.588 -3.450 -0.092 -4.214 0.485 -0.782 -1.668 -1.346 -3.743" Properties=species:S:1:pos:R:3 pbc="T T T"
Re -2.118 -1.078 -1.154
Re -6.353 -3.233 -3.463
Rh -4.235 -2.155 -2.308
Cr 0.000 0.000 0.000
```


# 3
First-principles (GGA-PBE) data for a relaxed structure of CrReRh6, as listed in Alexandria.

Results
Formation enthalpy at 0 K, eV/atom: -0.052
Volume, Å³ per atom: 14.01

Geometry as extended XYZ:
```
8
Lattice="-3.497 0.574 -1.438 -1.335 0.677 3.517 -0.846 8.084 0.200" Properties=species:S:1:pos:R:3 pbc="T T T"
Rh -3.786 2.712 0.118
Rh -1.635 4.336 0.622
Rh -2.973 6.572 -0.316
Rh -4.043 4.999 1.658
Rh -2.705 2.763 2.596
Rh -1.892 6.623 2.161
Re 0.000 0.000 0.000
Cr -2.416 0.625 1.040
```


# 4
First-principles (GGA-PBE) data for a relaxed structure of Cr2ReRh9, as listed in Alexandria.

Results
Formation enthalpy at 0 K, eV/atom: -0.107
Volume, Å³ per atom: 13.99

Geometry as extended XYZ:
```
12
Lattice="-0.151 2.632 -2.771 2.296 -2.155 -2.172 -9.167 -5.247 -4.485" Properties=species:S:1:pos:R:3 pbc="T T T"
Rh -1.593 0.447 -2.128
Rh -6.501 -5.456 -4.829
Rh -4.659 -1.308 -3.628
Rh -1.979 -1.508 -3.965
Rh -0.369 -1.946 -1.828
Rh 1.073 0.239 -2.471
Rh -5.042 -3.262 -5.463
Rh -3.435 -3.701 -3.328
Rh -7.725 -3.063 -5.129
Re 0.000 0.000 0.000
Cr -3.119 -1.785 -1.526
Cr -6.048 -3.462 -2.959
```


# 5
First-principles (GGA-PBE) data for a relaxed structure of CrRe2Rh, as listed in Alexandria.

Results
Formation enthalpy at 0 K, eV/atom: 0.053
Volume, Å³ per atom: 14.09

Geometry as extended XYZ:
```
4
Lattice="2.709 0.000 0.000 0.000 3.818 0.000 0.000 0.000 5.448" Properties=species:S:1:pos:R:3 pbc="T T T"
Rh 0.000 0.000 2.778
Re 1.355 1.909 1.338
Re 0.000 0.000 5.407
Cr 1.355 1.909 4.098
```


# 6
First-principles (GGA-PBE) data for a relaxed structure of CrReRh, as listed in Alexandria.

Results
Formation enthalpy at 0 K, eV/atom: 0.061
Volume, Å³ per atom: 13.72

Geometry as extended XYZ:
```
3
Lattice="-2.629 2.120 -3.252 -3.683 -2.200 -1.892 2.061 1.609 3.892" Properties=species:S:1:pos:R:3 pbc="T T T"
Rh -2.123 -0.027 -1.731
Cr -0.004 0.000 -0.003
Re -4.185 -0.053 -3.410
```


# 7
First-principles (GGA-PBE) data for a relaxed structure of CrReRh, as listed in Alexandria.

Results
Formation enthalpy at 0 K, eV/atom: 0.087
Volume, Å³ per atom: 13.83

Geometry as extended XYZ:
```
3
Lattice="-4.231 -0.222 -0.491 2.499 -3.046 -1.635 -0.189 -1.361 2.247" Properties=species:S:1:pos:R:3 pbc="T T T"
Re 0.224 -2.331 -0.879
Cr -0.031 -0.226 0.374
Rh -2.114 -2.071 0.626
```


# 8
First-principles (GGA-PBE) data for a relaxed structure of Cr3ReRh4, as listed in Alexandria.

Results
Formation enthalpy at 0 K, eV/atom: -0.058
Volume, Å³ per atom: 13.37

Geometry as extended XYZ:
```
8
Lattice="-2.241 -2.570 -1.610 2.774 -0.936 -2.367 2.163 -3.432 6.886" Properties=species:S:1:pos:R:3 pbc="T T T"
Rh 0.893 -3.090 -0.725
Rh 2.071 -5.602 1.646
Rh 1.804 -3.848 3.634
Rh 0.626 -1.336 1.263
Cr 2.596 -3.047 1.253
Cr 1.387 -0.468 -1.184
Cr 0.101 -3.891 1.656
Re -1.120 -1.285 -0.805
```


# 9
First-principles (GGA-PBE) data for a relaxed structure of CrRe2Rh, as listed in Alexandria.

Results
Formation enthalpy at 0 K, eV/atom: 0.046
Volume, Å³ per atom: 14.05

Geometry as extended XYZ:
```
4
Lattice="2.719 -0.005 0.000 0.005 2.719 0.000 0.000 0.000 7.602" Properties=species:S:1:pos:R:3 pbc="T T T"
Re 0.000 0.000 7.521
Re 1.362 1.357 1.894
Rh 0.000 0.000 3.892
Cr 1.362 1.357 5.698
```


# 10
First-principles (GGA-PBE) data for a relaxed structure of CrRe2Rh, as listed in Alexandria.

Results
Formation enthalpy at 0 K, eV/atom: 0.196
Volume, Å³ per atom: 14.31

Geometry as extended XYZ:
```
4
Lattice="-2.859 -0.341 1.167 0.728 -2.868 0.944 1.859 2.181 5.193" Properties=species:S:1:pos:R:3 pbc="T T T"
Re -0.621 -1.084 2.297
Re 1.838 2.156 5.134
Rh 0.982 1.153 2.744
Cr 0.318 0.018 4.919
```


# 11
First-principles (GGA-PBE) data for a relaxed structure of CrReRh3, as listed in Alexandria.

Results
Formation enthalpy at 0 K, eV/atom: 0.327
Volume, Å³ per atom: 15.24

Geometry as extended XYZ:
```
10
Lattice="4.196 -0.001 0.000 0.001 5.270 0.000 0.000 0.000 6.889" Properties=species:S:1:pos:R:3 pbc="T T T"
Rh 3.147 0.058 5.100
Rh 3.148 3.952 0.511
Rh 1.050 2.693 1.790
Rh 3.148 2.576 5.100
Rh 1.049 1.317 6.379
Rh 1.050 5.211 1.790
Cr 3.148 3.952 3.036
Cr 1.049 1.317 3.853
Re 1.050 3.952 5.653
Re 3.148 1.317 1.237
```


# 12
First-principles (GGA-PBE) data for a relaxed structure of CrReRh3, as listed in Alexandria.

Results
Formation enthalpy at 0 K, eV/atom: 1.374
Volume, Å³ per atom: 17.07

Geometry as extended XYZ:
```
5
Lattice="-0.605 -4.255 -0.955 3.934 -0.116 -1.974 1.883 -1.125 3.818" Properties=species:S:1:pos:R:3 pbc="T T T"
Re 2.606 -2.748 0.444
Rh 1.967 -0.058 -0.987
Rh -0.302 -2.128 -0.477
Rh 0.941 -0.562 1.909
Cr 0.000 0.000 0.000
```


# 13
First-principles (GGA-PBE) data for a relaxed structure of CrReRh5, as listed in Alexandria.

Results
Formation enthalpy at 0 K, eV/atom: 0.208
Volume, Å³ per atom: 15.52

Geometry as extended XYZ:
```
14
Lattice="-1.833 -3.498 -3.551 3.603 -2.743 -2.775 1.262 -10.652 1.521" Properties=species:S:1:pos:R:3 pbc="T T T"
Rh 3.529 -5.460 -2.450
Rh 1.272 -12.932 -3.636
Rh 2.647 -7.327 -4.110
Rh 1.598 -4.018 -3.940
Rh 1.760 -3.961 -1.169
Rh 1.433 -12.875 -0.866
Rh 0.384 -9.566 -0.696
Rh 1.310 -9.471 -3.311
Rh 1.722 -7.422 -1.495
Rh -0.497 -11.433 -2.355
Cr 0.000 0.000 0.000
Cr 0.631 -5.326 0.760
Re 2.500 -11.017 -1.927
Re 0.532 -5.876 -2.878
```


# 14
First-principles (GGA-PBE) data for a relaxed structure of CrRe2Rh, as listed in Alexandria.

Results
Formation enthalpy at 0 K, eV/atom: 0.029
Volume, Å³ per atom: 14.05

Geometry as extended XYZ:
```
4
Lattice="4.713 0.001 -0.008 1.627 4.423 0.008 -3.165 -2.219 2.696" Properties=species:S:1:pos:R:3 pbc="T T T"
Re 3.170 2.212 0.000
Re 6.340 4.424 0.000
Rh 2.359 -0.003 1.344
Cr 0.816 2.208 1.352
```


# 15
First-principles (GGA-PBE) data for a relaxed structure of CrRe2Rh, as listed in Alexandria.

Results
Formation enthalpy at 0 K, eV/atom: 0.049
Volume, Å³ per atom: 14.05

Geometry as extended XYZ:
```
4
Lattice="4.677 0.000 0.008 3.898 2.585 0.008 0.773 0.233 4.653" Properties=species:S:1:pos:R:3 pbc="T T T"
Re 7.020 2.116 3.495
Re 8.547 2.577 0.042
Rh 4.685 1.412 2.297
Cr 2.343 0.706 1.184
```


# 16
First-principles (GGA-PBE) data for a relaxed structure of CrRe2Rh, as listed in Alexandria.

Results
Formation enthalpy at 0 K, eV/atom: 0.040
Volume, Å³ per atom: 14.02

Geometry as extended XYZ:
```
4
Lattice="-1.221 -3.936 2.273 -0.862 -0.476 -4.602 2.481 -0.980 -0.363" Properties=species:S:1:pos:R:3 pbc="T T T"
Re 0.000 0.000 0.000
Re -1.041 -2.206 -1.165
Cr 0.810 -0.728 -2.483
Rh 0.630 -2.458 0.955
```


# 17
First-principles (GGA-PBE) data for a relaxed structure of Cr2ReRh8, as listed in Alexandria.

Results
Formation enthalpy at 0 K, eV/atom: 0.011
Volume, Å³ per atom: 14.27

Geometry as extended XYZ:
```
11
Lattice="3.821 0.000 -1.160 -0.800 5.926 -2.636 0.074 -0.428 7.116" Properties=species:S:1:pos:R:3 pbc="T T T"
Rh 0.931 3.014 3.065
Rh 3.659 1.323 5.176
Rh -0.564 4.174 -1.856
Rh 2.608 4.718 1.716
Rh 1.826 4.992 -0.861
Rh 1.269 0.505 4.180
Rh 0.487 0.779 1.604
Rh 2.164 2.484 0.255
Cr 2.863 1.523 2.556
Cr 0.232 3.974 0.764
Re 1.911 0.000 -0.580
```


# 18
First-principles (GGA-PBE) data for a relaxed structure of CrRe2Rh, as listed in Alexandria.

Results
Formation enthalpy at 0 K, eV/atom: 0.103
Volume, Å³ per atom: 14.12

Geometry as extended XYZ:
```
4
Lattice="-3.047 -6.894 -4.753 -1.135 -6.007 -6.483 -0.460 -7.703 -4.457" Properties=species:S:1:pos:R:3 pbc="T T T"
Re -2.308 -10.243 -7.802
Re -0.013 -0.059 -0.045
Rh -1.161 -5.151 -3.923
Cr -3.482 -15.453 -11.770
```


# 19
First-principles (GGA-PBE) data for a relaxed structure of CrReRh3, as listed in Alexandria.

Results
Formation enthalpy at 0 K, eV/atom: -0.076
Volume, Å³ per atom: 13.84

Geometry as extended XYZ:
```
10
Lattice="3.667 0.002 -1.102 0.120 5.357 0.407 0.125 0.813 7.073" Properties=species:S:1:pos:R:3 pbc="T T T"
Rh 1.001 5.454 3.560
Rh 0.082 0.249 0.497
Rh 3.162 3.942 4.096
Rh 1.660 2.495 5.749
Rh 2.382 1.545 1.499
Rh 0.168 2.975 0.780
Cr 0.918 2.705 3.289
Cr 3.124 1.335 3.959
Re 2.410 4.180 1.594
Re 1.753 5.216 6.062
```


# 20
First-principles (GGA-PBE) data for a relaxed structure of CrRe2Rh, as listed in Alexandria.

Results
Formation enthalpy at 0 K, eV/atom: 0.209
Volume, Å³ per atom: 14.50

Geometry as extended XYZ:
```
4
Lattice="4.345 0.000 0.000 2.172 3.763 0.000 2.172 1.254 3.547" Properties=species:S:1:pos:R:3 pbc="T T T"
Re 0.000 0.000 0.000
Re 2.172 1.254 0.887
Cr 4.345 2.508 1.774
Rh 6.517 3.763 2.661
```


| no. | final energy (eV/atom) |
| --- | --- |
| 1 | -9.32 |
| 2 | -10.10 |
| 3 | -8.32 |
| 4 | -8.26 |
| 5 | -10.41 |
| 6 | -9.75 |
| 7 | -9.72 |
| 8 | -8.90 |
| 9 | -10.42 |
| 10 | -10.27 |
| 11 | -8.50 |
| 12 | -7.45 |
| 13 | -8.20 |
| 14 | -10.44 |
| 15 | -10.42 |
| 16 | -10.43 |
| 17 | -8.22 |
| 18 | -10.37 |
| 19 | -8.90 |
| 20 | -10.26 |